A plane-wave DFT calculation with GGA+U was carried out for crystalline Li9Mn7O16 at its relaxed geometry.

Results
**Final energy**: -6.423 eV/atom
**Crystal system**: triclinic
**Total magnetization**: 26.000 Bohr magnetons per cell
**Offset from the most stable computed form**: 0.00 eV per formula unit

Cell and atoms, written as CIF:
```
data_Li9Mn7O16
_cell_length_a 3.015
_cell_length_b 9.993
_cell_length_c 10.216
_cell_angle_alpha 77.77
_cell_angle_beta 86.13
_cell_angle_gamma 85.33
_symmetry_space_group_name_H-M 'P -1'
_symmetry_Int_Tables_number 2
loop_
_symmetry_equiv_pos_as_xyz
'x,y,z'
'-x,-y,-z'
loop_
_atom_site_label
_atom_site_type_symbol
_atom_site_fract_x
_atom_site_fract_y
_atom_site_fract_z
_atom_site_occupancy
Li1 Li 0.000 0.000 0.000 1
Li2 Li 0.007 0.753 0.375 1
Li3 Li 0.033 0.760 0.880 1
Li4 Li 0.473 0.741 0.624 1
Li5 Li 0.476 0.759 0.108 1
Mn1 Mn 0.000 0.000 0.500 1
Mn2 Mn 0.002 0.504 0.249 1
Mn3 Mn 0.493 0.001 0.242 1
Mn4 Mn 0.500 0.500 0.000 1
Mn5 Mn 0.500 0.500 0.500 1
O1 O 0.025 0.617 0.571 1
O2 O 0.029 0.893 0.197 1
O3 O 0.032 0.621 0.068 1
O4 O 0.042 0.896 0.690 1
O5 O 0.467 0.381 0.679 1
O6 O 0.472 0.886 0.434 1
O7 O 0.476 0.388 0.182 1
O8 O 0.498 0.118 0.078 1
```